No. 1
First-principles (PBE) data for NaLi2AsF6 after structural relaxation, as listed in the Alexandria database.

## Properties
Formation energy from raw total energies   -2260 meV/atom
Calculated total energy   -0.1603 Ha/atom
Relative energy among the computed polymorphs   304.6 meV per atom

```
data_NaLi2AsF6
_chemical_formula_sum 'Na4 Li8 As4 F24'
_cell_length_a 8.433
_cell_length_b 8.433
_cell_length_c 8.433
_cell_angle_alpha 90.00
_cell_angle_beta 90.00
_cell_angle_gamma 90.00
_symmetry_space_group_name_H-M 'F m -3 m'
_symmetry_Int_Tables_number 225
_symmetry_space_group_name_Hall '-F 4 2 3'
loop_
_atom_site_label
_atom_site_fract_x
_atom_site_fract_y
_atom_site_fract_z
Na1 0.000 0.000 0.000
Li1 0.250 0.250 0.250
As1 0.000 0.000 0.500
F1 0.000 0.000 0.258
```

***

No. 2
First-principles (PBE) data for Sm6Sn2PbSe3 after structural relaxation, as listed in the Alexandria database.

## Properties
Formation energy from raw total energies   -1231 meV/atom
Calculated total energy   -0.1999 Ha/atom

```
data_Sm6Sn2PbSe3
_chemical_formula_sum 'Sm12 Sn4 Pb2 Se6'
_cell_length_a 19.012
_cell_length_b 4.329
_cell_length_c 8.737
_cell_angle_alpha 90.00
_cell_angle_beta 104.39
_cell_angle_gamma 90.00
_symmetry_space_group_name_H-M 'C 1 2/m 1'
_symmetry_Int_Tables_number 12
loop_
_symmetry_equiv_pos_as_xyz
'x,y,z'
'-x,-y,-z'
'-x,y,-z'
'x,-y,z'
'x+1/2,y+1/2,z'
'-x+1/2,-y+1/2,-z'
'-x+1/2,y+1/2,-z'
'x+1/2,-y+1/2,z'
loop_
_atom_site_label
_atom_site_fract_x
_atom_site_fract_y
_atom_site_fract_z
Sm1 0.002 0.000 0.242
Sm2 0.165 0.500 0.087
Sm3 0.170 0.500 0.580
Sn1 0.166 0.000 0.833
Pb1 0.000 0.500 0.500
Se1 0.000 0.500 0.000
Se2 0.167 0.000 0.333
```

***

No. 3
First-principles (PBE) data for PaHg after structural relaxation, as listed in the Alexandria database.

## Properties
Energy of formation from the pure elements   0.567 eV per formula unit
Calculated total energy   -0.1696 Ha/atom
Relative energy among the computed polymorphs   216.5 meV per atom

```
data_PaHg
_chemical_formula_sum 'Pa1 Hg1'
_cell_length_a 3.737
_cell_length_b 3.737
_cell_length_c 3.737
_cell_angle_alpha 90.00
_cell_angle_beta 90.00
_cell_angle_gamma 90.00
_symmetry_space_group_name_H-M 'P m -3 m'
_symmetry_Int_Tables_number 221
_symmetry_space_group_name_Hall '-P 4 2 3'
loop_
_atom_site_label
_atom_site_fract_x
_atom_site_fract_y
_atom_site_fract_z
Pa1 0.000 0.000 0.000
Hg1 0.500 0.500 0.500
```

***

No. 4
First-principles (PBE) data for CoOs2Cl after structural relaxation, as listed in the Alexandria database.

## Properties
Formation energy from raw total energies   669 meV/atom
Calculated total energy   -0.2640 Ha/atom
Relative energy among the computed polymorphs   198.3 meV per atom

```
data_CoOs2Cl
_chemical_formula_sum 'Co2 Os4 Cl2'
_cell_length_a 8.351
_cell_length_b 2.764
_cell_length_c 6.408
_cell_angle_alpha 90.00
_cell_angle_beta 91.55
_cell_angle_gamma 90.00
_symmetry_space_group_name_H-M 'C 1 m 1'
_symmetry_Int_Tables_number 8
loop_
_symmetry_equiv_pos_as_xyz
'x,y,z'
'x,-y,z'
'x+1/2,y+1/2,z'
'x+1/2,-y+1/2,z'
loop_
_atom_site_label
_atom_site_fract_x
_atom_site_fract_y
_atom_site_fract_z
Co1 0.000 0.000 0.000
Os1 0.042 0.500 0.671
Os2 0.277 0.000 0.829
Cl1 0.018 0.000 0.348
```